(1)
Ac3NdH, optimized geometry, DFT PBE; SG = No. 221
1.0
5.533 0.000 0.000
0.000 5.533 0.000
0.000 0.000 5.533
Ac H Nd
3 1 1
Direct
0.000 0.000 0.500 Ac
0.000 0.500 0.000 Ac
0.500 0.000 0.000 Ac
0.000 0.000 0.000 H
0.500 0.500 0.500 Nd

---

(2)
LiAg2AsF6, optimized geometry, DFT PBE; SG = No. 2; formation energy (no corrections) = -1.790 eV/atom
1.0
5.733 -0.027 0.009
-0.026 5.758 0.004
-2.847 -2.863 4.074
Li F As Ag
1 6 1 2
Direct
0.500 0.500 0.000 Li
0.754 0.853 0.101 F
0.301 0.303 0.497 F
0.803 0.300 0.997 F
0.246 0.148 0.899 F
0.197 0.701 0.002 F
0.699 0.698 0.503 F
0.000 0.000 0.000 As
0.250 0.740 0.489 Ag
0.750 0.261 0.511 Ag

---

(3)
Fe2CoSnB, optimized geometry, DFT PBE; SG = No. 123; energy of formation from the pure elements = -0.04 eV/atom
1.0
-2.656 0.546 2.784
-1.838 -3.237 -1.118
2.169 -2.088 2.479
Fe Co B Sn
2 1 1 1
Direct
0.000 0.500 0.000 Fe
0.500 0.000 0.000 Fe
0.000 0.000 0.500 Co
0.000 0.000 0.000 B
0.500 0.500 0.500 Sn

---

(4)
CeZnGa3Tc, optimized geometry, DFT PBE; SG = No. 63; energy of formation from the pure elements = -0.02 eV/atom
1.0
-2.947 -4.644 -2.120
3.456 1.170 -7.367
2.303 -3.775 5.068
Ga Tc Ce Zn
6 2 2 2
Direct
0.500 0.744 0.000 Ga
0.000 0.744 0.000 Ga
0.500 0.256 0.000 Ga
0.250 0.217 0.434 Ga
0.000 0.256 0.000 Ga
0.750 0.783 0.566 Ga
0.750 0.553 0.106 Tc
0.250 0.447 0.894 Tc
0.750 0.294 0.588 Ce
0.250 0.706 0.412 Ce
0.750 0.014 0.029 Zn
0.250 0.986 0.971 Zn

---

(5)
SnPd3Au, optimized geometry, DFT PBE; SG = No. 2; distance to the lowest polymorph of the same formula = 0.0 meV/atom; energy of formation from the pure elements = -0.36 eV/atom
1.0
-1.830 -3.138 -3.154
3.161 -3.614 0.022
-4.803 -4.900 3.947
Au Sn Pd
2 2 6
Direct
0.853 0.843 0.014 Au
0.558 0.346 0.600 Au
0.350 0.344 0.019 Sn
0.061 0.845 0.595 Sn
0.258 0.844 0.203 Pd
0.654 0.845 0.409 Pd
0.954 0.343 0.808 Pd
0.757 0.344 0.205 Pd
0.154 0.344 0.412 Pd
0.457 0.845 0.806 Pd

---

(6)
PrAg9Bi2, optimized geometry, DFT PBE; SG = No. 166; energy of formation from the pure elements = -0.07 eV/atom
1.0
5.745 0.000 0.000
2.872 4.975 0.000
2.872 1.658 9.153
Ag Pr Bi
9 1 2
Direct
0.414 0.414 0.252 Ag
0.414 0.920 0.252 Ag
0.500 0.500 0.500 Ag
0.586 0.080 0.748 Ag
0.667 0.667 0.000 Ag
0.333 0.333 0.000 Ag
0.920 0.414 0.252 Ag
0.586 0.586 0.748 Ag
0.080 0.586 0.748 Ag
0.000 0.000 0.000 Pr
0.864 0.864 0.408 Bi
0.136 0.136 0.592 Bi

---

(7)
Lu2GaSb, optimized geometry, DFT PBE; SG = No. 166; formation energy (no corrections) = -0.595 eV/atom
1.0
4.052 0.000 0.000
2.026 3.509 0.000
2.026 1.170 7.456
Sb Lu Ga
1 2 1
Direct
0.500 0.500 0.500 Sb
0.750 0.750 0.749 Lu
0.250 0.250 0.251 Lu
0.000 0.000 0.000 Ga

---

(8)
Ti2CoGe2, optimized geometry, DFT PBE; SG = No. 127; energy of formation from the pure elements = -0.53 eV/atom
1.0
6.135 0.000 0.000
0.000 6.135 0.000
0.000 0.000 3.954
Ge Ti Co
4 4 2
Direct
0.145 0.355 0.000 Ge
0.355 0.855 0.000 Ge
0.645 0.145 0.000 Ge
0.855 0.645 0.000 Ge
0.164 0.664 0.500 Ti
0.836 0.336 0.500 Ti
0.664 0.836 0.500 Ti
0.336 0.164 0.500 Ti
0.000 0.000 0.000 Co
0.500 0.500 0.000 Co

---

(9)
ZnReMo2, optimized geometry, DFT PBE; SG = No. 119; energy of formation from the pure elements = 0.23 eV/atom
1.0
4.877 -0.005 0.000
1.787 4.537 0.000
-3.332 -2.266 2.747
Re Mo Zn
1 2 1
Direct
0.500 0.500 0.000 Re
0.250 0.750 0.500 Mo
0.000 0.000 0.000 Mo
0.750 0.250 0.500 Zn

---

(10)
Pm2TaN3, optimized geometry, DFT PBE; SG = No. 63; distance to the lowest polymorph of the same formula = 88.2 meV/atom; formation energy (no corrections) = -1.210 eV/atom
1.0
-3.212 -4.355 -1.822
4.755 -2.454 -2.519
2.967 -3.678 3.556
N Ta Pm
6 2 4
Direct
0.500 0.151 0.151 N
0.750 0.605 0.395 N
0.250 0.395 0.605 N
0.000 0.151 0.151 N
0.000 0.849 0.849 N
0.500 0.849 0.849 N
0.750 0.902 0.098 Ta
0.250 0.098 0.902 Ta
0.250 0.833 0.512 Pm
0.250 0.488 0.167 Pm
0.750 0.512 0.833 Pm
0.750 0.167 0.488 Pm

---

(11)
ThPdCl6, optimized geometry, DFT PBE; SG = No. 2; formation energy (no corrections) = -1.435 eV/atom
1.0
-1.408 3.148 6.919
2.248 -1.479 7.643
4.999 3.964 2.804
Cl Pd Th
6 1 1
Direct
0.268 0.916 0.162 Cl
0.353 0.803 0.726 Cl
0.647 0.197 0.274 Cl
0.889 0.480 0.324 Cl
0.111 0.520 0.676 Cl
0.732 0.084 0.838 Cl
0.000 0.000 0.000 Pd
0.500 0.500 0.500 Th

---

(12)
Ba4AgHg2, optimized geometry, DFT PBE; SG = No. 139; distance to the lowest polymorph of the same formula = 128.7 meV/atom; energy of formation from the pure elements = -0.21 eV/atom
1.0
6.414 0.000 0.000
0.000 6.414 0.000
3.207 3.207 8.375
Hg Ag Ba
2 1 4
Direct
0.405 0.405 0.190 Hg
0.595 0.595 0.810 Hg
0.000 0.000 0.000 Ag
0.202 0.202 0.596 Ba
0.000 0.500 0.000 Ba
0.798 0.798 0.404 Ba
0.500 0.000 0.000 Ba

---

Total DFT energy (no corrections) / eV/atom: -4.221 -4.139 -6.979 -4.467 -4.929 -3.257 -4.643 -6.961 -8.614 -8.932 -4.396 -1.802